Density functional theory data (PBE-GGA) for an optimized crystal structure of YBe2Ge2.

Computed properties:
Mass density, g/cm³: 5.27
Energy of formation, eV/atom: -0.311
Total energy, eV per atom: -4.94

abc: 3.9107 3.9107 5.8858
angles: 70.60 70.60 90.00
Closest atoms and distances in Å follow each position.
Fractional coordinates of all 5 atoms:
Be 0.7500 0.2500 0.5000  4 Ge 2.34
Be 0.2500 0.7500 0.5000  4 Ge 2.34
Ge 0.3734 0.3734 0.2532  4 Be 2.34
Ge 0.6266 0.6266 0.7468  4 Be 2.34
Y 0.0000 0.0000 0.0000  8 Ge 3.06, 8 Be 3.25